(1)
A plane-wave DFT calculation with PBE-GGA was carried out for crystalline BaNbTc at its relaxed geometry.

offset from the most stable computed form	1.113	eV/atom
DFT total energy	-62.4	eV for the cell shown

a b c (Å): 6.5827 6.5827 6.5827
angles (deg): 90.00 90.00 90.00
Closest atoms and distances in Å follow each position.
Space group F-43m (No. 216)
Asymmetric unit:
Ba 0.0000 0.0000 0.0000 x4  4 Nb 2.85, 4 Tc 2.85
Nb 0.2500 0.2500 0.7500 x4  4 Ba 2.85
Tc 0.2500 0.2500 0.2500 x4  4 Ba 2.85

=====

(2)
A plane-wave DFT calculation with PBE-GGA was carried out for crystalline GdPbNO at its relaxed geometry.

offset from the most stable computed form	0.154	eV/atom
DFT total energy	-53.9	eV for the cell shown

a b c (Å): 3.6514 7.2855 6.1004
angles (deg): 90.00 90.00 90.00
Closest atoms and distances in Å follow each position.
Space group Pmc2_1 (No. 26)
Asymmetric unit:
Gd 0.0000 0.1233 0.0000 x2  2 O 2.16, 2 N 2.29-2.32
Pb 0.5000 0.3477 0.4921 x2  2 N 2.33, 1 O 2.35
N 0.0000 0.1735 0.3758 x2  2 Gd 2.29-2.32, 2 Pb 2.33
O 0.5000 0.2058 0.8378 x2  2 Gd 2.16, 1 Pb 2.35

=====

(3)
A plane-wave DFT calculation with PBE-GGA was carried out for crystalline PrTeNO at its relaxed geometry.

offset from the most stable computed form	0.263	eV/atom
DFT total energy	-51.2	eV for the cell shown

a b c (Å): 4.5669 4.5669 7.4477
angles (deg): 90.00 90.00 90.00
Closest atoms and distances in Å follow each position.
Space group P4/nmm (No. 129, origin choice 2)
Asymmetric unit:
Pr 0.2500 0.2500 0.1304 x2  1 N 2.44, 4 O 2.48
Te 0.2500 0.7500 0.5000 x2  4 N 2.30
N 0.2500 0.2500 0.4584 x2  4 Te 2.30, 1 Pr 2.44
O 0.2500 0.7500 0.0000 x2  4 Pr 2.48

=====

(4)
A plane-wave DFT calculation with PBE-GGA was carried out for crystalline Dy2Y3Tm2Fe2Te2 at its relaxed geometry.

DFT total energy	-131.9	eV for the cell shown

a b c (Å): 3.8892 15.7025 9.3194
angles (deg): 90.00 90.00 90.00
Closest atoms and distances in Å follow each position.
Space group Imm2 (No. 44)
Asymmetric unit:
Dy 0.0000 0.1359 0.0000 x4  2 Fe 2.79
Y 0.0000 0.0000 0.5851 x2  3 Te 3.13-3.14
Y 0.0000 0.3497 0.8479 x4  2 Fe 2.86, 2 Te 3.20
Tm 0.0000 0.3135 0.2078 x4  2 Fe 2.75
Fe 0.0000 0.2375 0.5180 x4  2 Tm 2.75, 2 Dy 2.79, 2 Y 2.86
Te 0.0000 0.0000 0.2484 x2  5 Y 3.14-3.20, 2 Dy 3.15
Te 0.0000 0.5000 0.3487 x2  2 Y 3.13, 2 Tm 3.21, 4 Dy 3.21

=====

(5)
A plane-wave DFT calculation with PBE-GGA was carried out for crystalline TbMg at its relaxed geometry.

DFT total energy	-24.7	eV for the cell shown

a b c (Å): 6.7386 6.0385 5.4721
angles (deg): 90.00 90.00 90.00
Closest atoms and distances in Å follow each position.
Space group Pbcm (No. 57)
Asymmetric unit:
Tb 0.1391 0.0771 0.2500 x4  6 Mg 3.31-3.47, 6 Tb 3.44-3.55
Mg 0.3693 0.5919 0.2500 x4  6 Tb 3.31-3.47, 6 Mg 3.34-3.50

=====

(6)
A plane-wave DFT calculation with PBE-GGA was carried out for crystalline GdNbH4 at its relaxed geometry.

DFT total energy	-30.7	eV for the cell shown

a b c (Å): 3.4569 3.4569 4.8145
angles (deg): 90.00 90.00 90.00
Closest atoms and distances in Å follow each position.
Space group P4/mmm (No. 123)
Asymmetric unit:
Gd 0.0000 0.0000 0.0000 x1  8 H 2.23
Nb 0.5000 0.5000 0.5000 x1  8 H 2.00
H 0.0000 0.5000 0.2910 x4  2 Nb 2.00, 1 H 2.01, 2 Gd 2.23

=====

(7)
A plane-wave DFT calculation with PBE-GGA was carried out for crystalline CsMgNbTe3 at its relaxed geometry.

offset from the most stable computed form	0.000	eV/atom
DFT total energy	-51.8	eV for the cell shown

a b c (Å): 9.7756 4.4185 11.1100
angles (deg): 90.00 115.07 90.00
Closest atoms and distances in Å follow each position.
Space group P2_1/m (No. 11)
Asymmetric unit:
Cs 0.2175 0.2500 0.2535 x2  7 Te 3.85-4.01
Mg 0.0932 0.2500 0.6179 x2  4 Te 2.72-2.90
Nb 0.3551 0.7500 0.8855 x2  5 Te 2.75-2.96
Te 0.1501 0.2500 0.8795 x2  1 Mg 2.72, 2 Nb 2.96
Te 0.2259 0.7500 0.5583 x2  3 Mg 2.78-2.90
Te 0.4786 0.7500 0.1582 x2  3 Nb 2.75-2.90

=====

(8)
A plane-wave DFT calculation with PBE-GGA was carried out for crystalline Co28Re at its relaxed geometry.

DFT total energy	-419.2	eV for the cell shown
energy of formation	63	meV per atom

a b c (Å): 8.5792 8.5792 8.5792
angles (deg): 90.00 90.00 90.00
Closest atoms and distances in Å follow each position.
Space group I-43m (No. 217)
Asymmetric unit:
Co 0.0427 0.3587 0.6413 x24  8 Co 2.31-2.53
Co 0.0917 0.0917 0.7168 x24  6 Co 2.23-2.42
Co 0.1793 0.1793 0.1793 x8  9 Co 2.43-2.60, 1 Re 2.66
Re 0.0000 0.0000 0.0000 x2  16 Co 2.66-2.67